# ZrSiAs GGA-PBE relaxed
data_ZrSiAs
_chemical_formula_sum 'Zr4 Si4 As4'
_space_group_name_H-M_alt 'F m m 2'
_space_group_IT_number 42
_space_group_name_Hall 'F 2 -2'
_cell_length_a 3.9602
_cell_length_b 4.4261
_cell_length_c 13.2358
_cell_angle_alpha 90.00
_cell_angle_beta 90.00
_cell_angle_gamma 90.00
loop_
_atom_site_label
_atom_site_fract_x
_atom_site_fract_y
_atom_site_fract_z
_atom_site_occupancy
Zr1 0.0000 0.0000 0.0000 1
Si1 0.0000 0.0000 0.3527 1
As1 0.0000 0.0000 0.6581 1
# formation energy (no corrections) = -80 meV/atom
# E = -6.287 eV per atom



# Zr5Si2As GGA-PBE relaxed
data_Zr5Si2As
_chemical_formula_sum 'Zr20 Si8 As4'
_space_group_name_H-M_alt 'I 4/m c m'
_space_group_IT_number 140
_space_group_name_Hall '-I 4 2c'
_cell_length_a 6.9876
_cell_length_b 6.9876
_cell_length_c 12.6056
_cell_angle_alpha 90.00
_cell_angle_beta 90.00
_cell_angle_gamma 90.00
loop_
_atom_site_label
_atom_site_fract_x
_atom_site_fract_y
_atom_site_fract_z
_atom_site_occupancy
Zr1 0.0000 0.0000 0.0000 1
Zr2 0.1653 0.3347 0.1467 1
Si1 0.1287 0.3713 0.5000 1
As1 0.0000 0.0000 0.2500 1
# formation energy (no corrections) = -894 meV/atom
# E = -8.174 eV per atom



# Zr4SiAs GGA-PBE relaxed
data_Zr4SiAs
_chemical_formula_sum 'Zr8 Si2 As2'
_space_group_name_H-M_alt 'P 4/m c c'
_space_group_IT_number 124
_space_group_name_Hall '-P 4 2c'
_cell_length_a 6.6088
_cell_length_b 6.6088
_cell_length_c 5.4192
_cell_angle_alpha 90.00
_cell_angle_beta 90.00
_cell_angle_gamma 90.00
loop_
_atom_site_label
_atom_site_fract_x
_atom_site_fract_y
_atom_site_fract_z
_atom_site_occupancy
Zr1 0.1549 0.3387 0.0000 1
Si1 0.0000 0.0000 0.2500 1
As1 0.5000 0.5000 0.2500 1
# formation energy (no corrections) = -846 meV/atom
# ΔE to the lowest computed polymorph = 0.0 kJ/mol of atoms
# E = -8.223 eV per atom



# ZrSiAs GGA-PBE relaxed
data_ZrSiAs
_chemical_formula_sum 'Zr4 Si4 As4'
_space_group_name_H-M_alt 'F -4 3 m'
_space_group_IT_number 216
_space_group_name_Hall 'F -4 2 3'
_cell_length_a 6.4309
_cell_length_b 6.4309
_cell_length_c 6.4309
_cell_angle_alpha 90.00
_cell_angle_beta 90.00
_cell_angle_gamma 90.00
loop_
_atom_site_label
_atom_site_fract_x
_atom_site_fract_y
_atom_site_fract_z
_atom_site_occupancy
Zr1 0.0000 0.0000 0.0000 1
Si1 0.2500 0.2500 0.7500 1
As1 0.2500 0.2500 0.2500 1
# formation energy (no corrections) = 41 meV/atom
# E = -6.166 eV per atom



# ZrSiAs GGA-PBE relaxed
data_ZrSiAs
_chemical_formula_sum 'Zr1 Si1 As1'
_space_group_name_H-M_alt 'P 3 m 1'
_space_group_IT_number 156
_cell_length_a 3.1826
_cell_length_b 3.1826
_cell_length_c 6.3151
_cell_angle_alpha 90.00
_cell_angle_beta 90.00
_cell_angle_gamma 120.00
loop_
_space_group_symop_operation_xyz
'x,y,z'
'-y,x-y,z'
'-x+y,-x,z'
'-y,-x,z'
'-x+y,y,z'
'x,x-y,z'
loop_
_atom_site_label
_atom_site_fract_x
_atom_site_fract_y
_atom_site_fract_z
_atom_site_occupancy
Zr1 0.0000 0.0000 0.0000 1
Si1 0.3333 0.6667 0.6584 1
As1 0.6667 0.3333 0.3496 1
# formation energy (no corrections) = -141 meV/atom
# E = -6.348 eV per atom



# ZrSiAs GGA-PBE relaxed
data_ZrSiAs
_chemical_formula_sum 'Zr2 Si2 As2'
_space_group_name_H-M_alt 'C 1 m 1'
_space_group_IT_number 8
_cell_length_a 9.3889
_cell_length_b 3.4728
_cell_length_c 3.4741
_cell_angle_alpha 90.00
_cell_angle_beta 111.57
_cell_angle_gamma 90.00
loop_
_space_group_symop_operation_xyz
'x,y,z'
'x,-y,z'
'x+1/2,y+1/2,z'
'x+1/2,-y+1/2,z'
loop_
_atom_site_label
_atom_site_fract_x
_atom_site_fract_y
_atom_site_fract_z
_atom_site_occupancy
Zr1 0.0000 0.0000 0.0000 1
Si1 0.1661 0.5000 0.6635 1
As1 0.3370 0.0000 0.3392 1
# formation energy (no corrections) = -562 meV/atom
# E = -6.769 eV per atom



# ZrSi3As GGA-PBE relaxed
data_ZrSi3As
_chemical_formula_sum 'Zr1 Si3 As1'
_space_group_name_H-M_alt 'P m -3 m'
_space_group_IT_number 221
_space_group_name_Hall '-P 4 2 3'
_cell_length_a 5.0821
_cell_length_b 5.0821
_cell_length_c 5.0821
_cell_angle_alpha 90.00
_cell_angle_beta 90.00
_cell_angle_gamma 90.00
loop_
_atom_site_label
_atom_site_fract_x
_atom_site_fract_y
_atom_site_fract_z
_atom_site_occupancy
Zr1 0.0000 0.0000 0.0000 1
Si1 0.0000 0.0000 0.5000 1
As1 0.5000 0.5000 0.5000 1
# formation energy (no corrections) = 1087 meV/atom
# ΔE to the lowest computed polymorph = 19.2 kJ/mol of atoms
# E = -4.806 eV per atom



# ZrSiAs GGA-PBE relaxed
data_ZrSiAs
_chemical_formula_sum 'Zr2 Si2 As2'
_space_group_name_H-M_alt 'I 4 m m'
_space_group_IT_number 107
_space_group_name_Hall 'I 4 -2'
_cell_length_a 2.9354
_cell_length_b 2.9354
_cell_length_c 13.4854
_cell_angle_alpha 90.00
_cell_angle_beta 90.00
_cell_angle_gamma 90.00
loop_
_atom_site_label
_atom_site_fract_x
_atom_site_fract_y
_atom_site_fract_z
_atom_site_occupancy
Zr1 0.0000 0.0000 0.0000 1
Si1 0.0000 0.0000 0.3530 1
As1 0.0000 0.0000 0.6585 1
# formation energy (no corrections) = -85 meV/atom
# E = -6.291 eV per atom



# ZrSiAs GGA-PBE relaxed
data_ZrSiAs
_chemical_formula_sum 'Zr1 Si1 As1'
_space_group_name_H-M_alt 'P -6 m 2'
_space_group_IT_number 187
_space_group_name_Hall 'P -6 2'
_cell_length_a 4.7199
_cell_length_b 4.7199
_cell_length_c 2.7946
_cell_angle_alpha 90.00
_cell_angle_beta 90.00
_cell_angle_gamma 120.00
loop_
_atom_site_label
_atom_site_fract_x
_atom_site_fract_y
_atom_site_fract_z
_atom_site_occupancy
Zr1 0.0000 0.0000 0.0000 1
Si1 0.3333 0.6667 0.5000 1
As1 0.6667 0.3333 0.5000 1
# formation energy (no corrections) = -226 meV/atom
# E = -6.432 eV per atom



# ZrSiAs GGA-PBE relaxed
data_ZrSiAs
_chemical_formula_sum 'Zr4 Si4 As4'
_space_group_name_H-M_alt 'P n m a'
_space_group_IT_number 62
_cell_length_a 6.5265
_cell_length_b 3.5992
_cell_length_c 9.3611
_cell_angle_alpha 90.00
_cell_angle_beta 90.00
_cell_angle_gamma 90.00
loop_
_space_group_symop_operation_xyz
'x,y,z'
'-x,-y,-z'
'-x+1/2,-y,z+1/2'
'x+1/2,y,-z+1/2'
'x+1/2,-y+1/2,-z+1/2'
'-x+1/2,y+1/2,z+1/2'
'-x,y+1/2,-z'
'x,-y+1/2,z'
loop_
_atom_site_label
_atom_site_fract_x
_atom_site_fract_y
_atom_site_fract_z
_atom_site_occupancy
Zr1 0.2239 0.2500 0.1617 1
Si1 0.1156 0.2500 0.4590 1
As1 0.1172 0.2500 0.8588 1
# formation energy (no corrections) = -728 meV/atom
# E = -6.934 eV per atom



# Sm4As3 GGA-PBE relaxed
data_Sm4As3
_chemical_formula_sum 'Sm12 As9'
_space_group_name_H-M_alt 'R -3 m'
_space_group_IT_number 166
_space_group_name_Hall '-R 3 2"'
_cell_length_a 4.1968
_cell_length_b 4.1968
_cell_length_c 39.7489
_cell_angle_alpha 90.00
_cell_angle_beta 90.00
_cell_angle_gamma 120.00
loop_
_atom_site_label
_atom_site_fract_x
_atom_site_fract_y
_atom_site_fract_z
_atom_site_occupancy
Sm1 0.0000 0.0000 0.1248 1
Sm2 0.0000 0.0000 0.3738 1
As1 0.0000 0.0000 0.2537 1
As2 0.0000 0.0000 0.5000 1
# ΔE to the lowest computed polymorph = 1.2 kJ/mol of atoms
# E = -5.951 eV per atom



# Sm3As GGA-PBE relaxed
data_Sm3As
_chemical_formula_sum 'Sm6 As2'
_space_group_name_H-M_alt 'I m m 2'
_space_group_IT_number 44
_cell_length_a 3.8579
_cell_length_b 9.5212
_cell_length_c 6.4423
_cell_angle_alpha 90.00
_cell_angle_beta 90.00
_cell_angle_gamma 90.00
loop_
_space_group_symop_operation_xyz
'x,y,z'
'-x,-y,z'
'-x,y,z'
'x,-y,z'
'x+1/2,y+1/2,z+1/2'
'-x+1/2,-y+1/2,z+1/2'
'-x+1/2,y+1/2,z+1/2'
'x+1/2,-y+1/2,z+1/2'
loop_
_atom_site_label
_atom_site_fract_x
_atom_site_fract_y
_atom_site_fract_z
_atom_site_occupancy
Sm1 0.0000 0.0000 0.0000 1
Sm2 0.0000 0.1939 0.5610 1
As1 0.0000 0.5000 0.8347 1
# ΔE to the lowest computed polymorph = 0.0 kJ/mol of atoms
# E = -5.271 eV per atom



no.,DOS at the Fermi energy (states/eV per atom)
1,0.8372
2,0.8333
3,0.4398
4,1.5227
5,0.5722
6,0.3008
7,0.8264
8,0.6225
9,0.3174
10,0.5740
11,0.2989
12,0.6715